# 1
The following is a PBE-GGA calculation of a relaxed structure of B7C3, from Alexandria via LeMat-Bulk.

abc: 8.183 2.569 6.529
angles: 90.00 100.29 90.00
Space group Cm (No. 8)
Inequivalent atoms, fractional coordinates:
B1 0.000 0.000 0.000 x2
B2 0.026 0.000 0.272 x2
B3 0.134 0.500 0.416 x2
B4 0.241 0.000 0.035 x2
B5 0.343 0.500 0.397 x2
B6 0.417 0.000 0.816 x2
B7 0.454 0.000 0.544 x2
C1 0.143 0.500 0.672 x2
C2 0.216 0.000 0.771 x2
C3 0.335 0.500 0.142 x2

Computed properties:
Energy relative to the elements, eV/atom: 0.42
Energy relative to the lowest polymorph listed for this composition, meV per atom: 128

***

# 2
The following is a PBE-GGA calculation of a relaxed structure of Ac2AlGeO6, from Alexandria via LeMat-Bulk.

abc: 3.981 3.981 8.042
angles: 90.00 90.00 90.00
Space group P4/mmm (No. 123)
Inequivalent atoms, fractional coordinates:
Ac1 0.000 0.000 0.242 x2
Al1 0.500 0.500 0.000 x1
Ge1 0.500 0.500 0.500 x1
O1 0.000 0.500 0.000 x2
O2 0.000 0.500 0.500 x2
O3 0.500 0.500 0.233 x2

Computed properties:
Formation energy (no corrections), eV per atom: -2.740

***

# 3
The following is a PBE-GGA calculation of a relaxed structure of SiSbW2Br, from Alexandria via LeMat-Bulk.

abc: 4.829 4.829 4.719
angles: 90.00 90.00 90.00
Space group P4/mmm (No. 123)
Inequivalent atoms, fractional coordinates:
Si1 0.000 0.000 0.000 x1
Sb1 0.500 0.500 0.500 x1
W1 0.000 0.500 0.000 x2
Br1 0.000 0.000 0.500 x1

Computed properties:
Formation energy (no corrections), eV per atom: 1.629

***

# 4
The following is a PBE-GGA calculation of a relaxed structure of HoErRuAu, from Alexandria via LeMat-Bulk.

abc: 3.414 3.414 7.245
angles: 90.00 90.00 90.00
Space group P4mm (No. 99)
Inequivalent atoms, fractional coordinates:
Ho1 0.000 0.000 0.000 x1
Er1 0.000 0.000 0.541 x1
Ru1 0.500 0.500 0.769 x1
Au1 0.500 0.500 0.273 x1

Computed properties:
Energy relative to the elements, eV/atom: -0.69
Energy relative to the lowest polymorph listed for this composition, meV per atom: 0

***

# 5
The following is a PBE-GGA calculation of a relaxed structure of TaZnW2, from Alexandria via LeMat-Bulk.

abc: 2.8254 2.8254 28.7817
angles: 90.00 90.00 120.00
Space group R-3m (No. 166, hexagonal axes)
Inequivalent atoms, fractional coordinates:
Ta1 0.0000 0.0000 0.0000 x3
Zn1 0.0000 0.0000 0.5000 x3
W1 0.0000 0.0000 0.2460 x6

Computed properties:
Energy relative to the elements, eV/atom: 0.37

***

# 6
The following is a PBE-GGA calculation of a relaxed structure of In2GeF6, from Alexandria via LeMat-Bulk.

abc: 10.254 6.875 3.670
angles: 90.00 91.30 90.00
Space group C2/m (No. 12)
Inequivalent atoms, fractional coordinates:
In1 0.134 0.000 0.499 x4
Ge1 0.000 0.500 0.000 x2
F1 0.130 0.203 0.002 x8
F2 0.156 0.500 0.500 x4

Computed properties:
Formation energy (no corrections), eV per atom: -2.010